(1)
A plane-wave DFT calculation with GGA-PBE was carried out for a relaxed La2HoCu3Ge4 crystal.

Structure (POSCAR):
```
La2HoCu3Ge4
1.0
4.363 0.000 0.000
0.000 4.363 0.000
0.000 0.000 10.838
La Ho Cu Ge
2 1 3 4
Direct
0.000 0.500 0.226 La
0.500 0.000 0.774 La
0.000 0.000 0.500 Ho
0.000 0.500 0.886 Cu
0.500 0.000 0.114 Cu
0.500 0.500 0.500 Cu
0.000 0.000 0.000 Ge
0.000 0.500 0.661 Ge
0.500 0.000 0.339 Ge
0.500 0.500 0.000 Ge
```

Results
As for the space group: No. 115. Its total energy is -50.944 eV for the cell shown. For the density of states at the Fermi level, the calculation gives 2.34 states/eV/cell.

---

(2)
A plane-wave DFT calculation with GGA-PBE was carried out for a relaxed YTaCo2 crystal.

Structure (POSCAR):
```
YTaCo2
1.0
0.000 3.162 3.162
3.162 0.000 3.162
3.162 3.162 0.000
Y Ta Co
1 1 2
Direct
0.000 0.000 0.000 Y
0.750 0.750 0.750 Ta
0.250 0.250 0.250 Co
0.500 0.500 0.500 Co
```

Results
As for the space group: No. 216. Its total energy is -30.866 eV for the cell shown. For the density of states at the Fermi level, the calculation gives 5.89 states/eV/cell.

---

(3)
A plane-wave DFT calculation with GGA-PBE was carried out for a relaxed ReBi crystal.

Structure (POSCAR):
```
ReBi
1.0
6.788 0.000 0.000
0.000 7.245 0.000
0.000 0.000 7.438
Re Bi
8 8
Direct
0.053 0.067 0.057 Re
0.136 0.850 0.354 Re
0.364 0.150 0.854 Re
0.447 0.933 0.557 Re
0.553 0.433 0.943 Re
0.636 0.650 0.646 Re
0.864 0.350 0.146 Re
0.947 0.567 0.443 Re
0.106 0.825 0.738 Bi
0.175 0.589 0.075 Bi
0.325 0.411 0.575 Bi
0.394 0.175 0.238 Bi
0.606 0.675 0.262 Bi
0.675 0.911 0.925 Bi
0.825 0.089 0.425 Bi
0.894 0.325 0.762 Bi
```

Results
As for the space group: No. 19. For the energy relative to the lowest polymorph listed for this composition, the calculation gives 156 meV per atom. For the density of states at the Fermi level, the calculation gives 8.21 states/eV/cell.

---

(4)
A plane-wave DFT calculation with GGA-PBE was carried out for a relaxed TaAl4Pt crystal.

Structure (POSCAR):
```
TaAl4Pt
1.0
0.000 3.608 3.608
3.608 0.000 3.608
3.608 3.608 0.000
Ta Al Pt
1 4 1
Direct
0.000 0.000 0.000 Ta
0.124 0.625 0.625 Al
0.625 0.124 0.625 Al
0.625 0.625 0.124 Al
0.625 0.625 0.625 Al
0.250 0.250 0.250 Pt
```

Results
As for the space group: No. 216. Its total energy is -33.193 eV for the cell shown. For the density of states at the Fermi level, the calculation gives 4.23 states/eV/cell.

---

(5)
A plane-wave DFT calculation with GGA-PBE was carried out for a relaxed SiC3 crystal.

Structure (POSCAR):
```
SiC3
1.0
3.492 0.000 0.000
0.000 3.492 0.000
0.000 0.000 2.601
Si C
1 3
Direct
0.000 0.000 0.000 Si
0.000 0.500 0.500 C
0.500 0.000 0.500 C
0.500 0.500 0.000 C
```

Results
As for the space group: No. 123. For the energy relative to the lowest polymorph listed for this composition, the calculation gives 2520 meV per atom. Its energy relative to the elements, uncorrected is 3.02 eV per atom. For the density of states at the Fermi level, the calculation gives 1.78 states/eV/cell.

---

(6)
A plane-wave DFT calculation with GGA-PBE was carried out for a relaxed Ho5Er6Tm crystal.

Structure (POSCAR):
```
Ho5Er6Tm
1.0
3.035 -5.250 0.000
3.035 5.250 0.000
-2.015 0.000 11.434
Ho Er Tm
5 6 1
Direct
0.000 0.000 0.000 Ho
0.167 0.833 0.500 Ho
0.333 0.667 0.000 Ho
0.667 0.333 0.000 Ho
0.833 0.167 0.500 Ho
0.084 0.417 0.250 Er
0.250 0.250 0.750 Er
0.417 0.084 0.250 Er
0.583 0.916 0.750 Er
0.750 0.750 0.250 Er
0.916 0.583 0.750 Er
0.500 0.500 0.500 Tm
```

Results
As for the space group: No. 12. Its total energy is -54.476 eV for the cell shown. For the density of states at the Fermi level, the calculation gives 16.43 states/eV/cell.